Compound: TbMgZn2Pt2
Source: Alexandria
Functional: PBE
Structure: optimized geometry

Cell lengths 4.4163, 4.4163, 6.5163 Å; angles 90.00, 90.00, 120.00 degrees
Last column: nearest neighbours and their distance in Å.
Space group P-3m1 (No. 164)
Inequivalent atoms, fractional coordinates:
Tb (0.0000, 0.0000, 0.0000) x1  6 Pt 3.12, 6 Zn 3.20, 2 Mg 3.26
Mg (0.0000, 0.0000, 0.5000) x1  6 Zn 2.87, 6 Pt 2.94
Zn (0.3333, 0.6667, 0.2969) x2  4 Pt 2.55-2.78
Pt (0.3333, 0.6667, 0.7237) x2  4 Zn 2.55-2.78

* calculated formation energy: -0.795 eV/atom

***

Compound: RbNdBi
Source: Alexandria
Functional: PBE
Structure: optimized geometry

Cell lengths 5.2637, 5.2637, 40.9628 Å; angles 90.00, 90.00, 120.00 degrees
Last column: nearest neighbours and their distance in Å.
Space group R-3m (No. 166, hexagonal axes)
Inequivalent atoms, fractional coordinates:
Rb (0.0000, 0.0000, 0.1125) x6  3 Bi 3.88
Nd (0.0000, 0.0000, 0.3038) x6  4 Bi 3.19-3.40
Bi (0.0000, 0.0000, 0.3868) x6  4 Nd 3.19-3.40

* calculated formation energy: -0.426 eV/atom

***

Compound: GeSeI3
Source: Alexandria
Functional: PBE
Structure: optimized geometry

Cell lengths 5.7869, 5.7869, 5.7869 Å; angles 90.00, 90.00, 90.00 degrees
Last column: nearest neighbours and their distance in Å.
Space group Pm-3m (No. 221)
Inequivalent atoms, fractional coordinates:
Ge (0.0000, 0.0000, 0.0000) x1  6 I 2.89
Se (0.5000, 0.5000, 0.5000) x1  12 I 4.09
I (0.0000, 0.0000, 0.5000) x3  2 Ge 2.89

* offset from the most stable computed form: 0.0 kJ per mole of atoms
* formation energy from raw total energies: 0.36 eV/atom